A plane-wave DFT calculation with PBE-GGA was carried out for a relaxed structure of In12GaSn3.

Results
DOS at the Fermi energy = 3.85 states/eV/cell
DFT total energy = -2.96 eV per atom
symmetry = P4/mmm (123)
ΔH_f (0 K) = 0.037 eV per atom

Cell lengths 4.431, 4.431, 21.985 Å; angles 90.00, 90.00, 90.00 degrees
Positions (direct):
In 0.000 0.500 0.373
In 0.500 0.000 0.881
In 0.000 0.500 0.881
In 0.500 0.500 0.500
In 0.500 0.000 0.373
In 0.500 0.500 0.000
In 0.000 0.500 0.627
In 0.500 0.500 0.243
In 0.500 0.500 0.757
In 0.500 0.000 0.119
In 0.500 0.000 0.627
In 0.000 0.500 0.119
Ga 0.000 0.000 0.000
Sn 0.000 0.000 0.752
Sn 0.000 0.000 0.500
Sn 0.000 0.000 0.248